## 1
DFT (PBE) results for a relaxed PdPb2F crystal.

Unit cell a=6.860 b=6.860 c=6.860 alpha=90.00 beta=90.00 gamma=90.00
Space group Fm-3m (No. 225)
Symmetry-distinct sites (fractional):
1 Pd 0.000 0.000 0.000 (multiplicity 4)
2 Pb 0.250 0.250 0.250 (multiplicity 8)
3 F 0.000 0.000 0.500 (multiplicity 4)

## 2
DFT (PBE) results for a relaxed PdPb2F crystal.

Unit cell a=5.596 b=5.596 c=13.800 alpha=90.00 beta=90.00 gamma=90.00
Space group I-42d (No. 122)
Symmetry-distinct sites (fractional):
1 Pd 0.000 0.000 0.000 (multiplicity 4)
2 Pb 0.218 0.250 0.625 (multiplicity 8)
3 F 0.000 0.000 0.500 (multiplicity 4)

1 has the most favorable energy; the next structure is 81 meV per atom above.

## 1
DFT (PBE) results for a relaxed Pm2PbF crystal.

Unit cell a=3.448 b=3.448 c=8.146 alpha=90.00 beta=90.00 gamma=90.00
Space group P4/mmm (No. 123)
Symmetry-distinct sites (fractional):
1 Pm 0.000 0.000 0.226 (multiplicity 2)
2 Pb 0.500 0.500 0.500 (multiplicity 1)
3 F 0.500 0.500 0.000 (multiplicity 1)

## 2
DFT (PBE) results for a relaxed Pm2PbF crystal.

Unit cell a=7.630 b=6.892 c=8.342 alpha=90.00 beta=101.50 gamma=90.00
Space group P2_1/c (No. 14)
Symmetry-distinct sites (fractional):
1 Pm 0.066 0.123 0.329 (multiplicity 4)
2 Pm 0.336 0.671 0.517 (multiplicity 4)
3 Pb 0.330 0.121 0.669 (multiplicity 4)
4 F 0.196 0.665 0.754 (multiplicity 4)

## 3
DFT (PBE) results for a relaxed Pm2PbF crystal.

Unit cell a=4.3682 b=4.3682 c=18.8186 alpha=90.00 beta=90.00 gamma=120.00
Space group R-3m (No. 166, hexagonal axes)
Symmetry-distinct sites (fractional):
1 Pm 0.0000 0.0000 0.2379 (multiplicity 6)
2 Pb 0.0000 0.0000 0.0000 (multiplicity 3)
3 F 0.0000 0.0000 0.5000 (multiplicity 3)

2 has the most favorable energy; the next structure is 239 meV per atom above.

## 1
DFT (PBE) results for a relaxed PtPbF2 crystal.

Unit cell a=3.1394 b=3.1394 c=24.2201 alpha=90.00 beta=90.00 gamma=120.00
Space group R-3m (No. 166, hexagonal axes)
Symmetry-distinct sites (fractional):
1 Pt 0.0000 0.0000 0.0000 (multiplicity 3)
2 Pb 0.0000 0.0000 0.5000 (multiplicity 3)
3 F 0.0000 0.0000 0.0835 (multiplicity 6)

## 2
DFT (PBE) results for a relaxed PtPbF2 crystal.

Unit cell a=6.317 b=6.317 c=6.317 alpha=90.00 beta=90.00 gamma=90.00
Space group Fm-3m (No. 225)
Symmetry-distinct sites (fractional):
1 Pt 0.000 0.000 0.000 (multiplicity 4)
2 Pb 0.000 0.000 0.500 (multiplicity 4)
3 F 0.250 0.250 0.250 (multiplicity 8)

## 3
DFT (PBE) results for a relaxed PtPbF2 crystal.

Unit cell a=3.1041 b=3.1041 c=25.4979 alpha=90.00 beta=90.00 gamma=120.00
Space group R-3m (No. 166, hexagonal axes)
Symmetry-distinct sites (fractional):
1 Pt 0.0000 0.0000 0.0000 (multiplicity 3)
2 Pb 0.0000 0.0000 0.5000 (multiplicity 3)
3 F 0.0000 0.0000 0.4094 (multiplicity 6)

1 has the most favorable energy; the next structure is 235 meV per atom above.